# 1
# AlIn2Hg

A relaxed structure of AlIn2Hg (PBE, Alexandria).

## Properties
Relative energy among the computed polymorphs, meV per atom: 18
VASP energy, eV/atom: -2.27
ΔH_f (0 K), meV per atom: 110

a b c (Å): 3.263 3.263 9.196
angles (deg): 90.00 90.00 100.12
Sites, in units of the cell vectors:
Al 0.000 0.000 0.000
In 0.000 0.000 0.521
In 0.500 0.500 0.239
Hg 0.500 0.500 0.786


# 2
# AlInHg2

A relaxed structure of AlInHg2 (PBE, Alexandria).

## Properties
Relative energy among the computed polymorphs, meV per atom: 48
VASP energy, eV/atom: -1.65
ΔH_f (0 K), meV per atom: 122

a b c (Å): 3.336 3.336 9.924
angles (deg): 90.00 90.00 118.80
Sites, in units of the cell vectors:
Al 0.000 0.000 0.000
In 0.000 0.000 0.500
Hg 0.500 0.500 0.233
Hg 0.500 0.500 0.767


# 3
# Al3In12Hg5

A relaxed structure of Al3In12Hg5 (PBE, Alexandria).

## Properties
VASP energy, eV/atom: -2.10
ΔH_f (0 K), meV per atom: 179

a b c (Å): 14.609 14.609 14.609
angles (deg): 109.47 109.47 109.47
Sites, in units of the cell vectors:
Al 0.125 0.250 0.375
Al 0.125 0.375 0.750
Al 0.250 0.375 0.125
Al 0.250 0.875 0.625
Al 0.375 0.125 0.250
Al 0.375 0.750 0.125
Al 0.625 0.250 0.875
Al 0.625 0.875 0.750
Al 0.750 0.125 0.375
Al 0.750 0.625 0.875
Al 0.875 0.625 0.250
Al 0.875 0.750 0.625
In 0.067 0.236 0.135
In 0.067 0.332 0.932
In 0.068 0.635 0.399
In 0.068 0.933 0.668
In 0.101 0.736 0.668
In 0.101 0.865 0.432
In 0.135 0.067 0.236
In 0.135 0.568 0.899
In 0.168 0.236 0.601
In 0.168 0.433 0.568
In 0.236 0.135 0.067
In 0.236 0.601 0.168
In 0.264 0.332 0.899
In 0.264 0.433 0.365
In 0.332 0.899 0.264
In 0.332 0.932 0.067
In 0.365 0.264 0.433
In 0.365 0.601 0.932
In 0.399 0.068 0.635
In 0.399 0.832 0.764
In 0.432 0.101 0.865
In 0.432 0.832 0.567
In 0.433 0.365 0.264
In 0.433 0.568 0.168
In 0.567 0.432 0.832
In 0.567 0.635 0.736
In 0.568 0.168 0.433
In 0.568 0.899 0.135
In 0.601 0.168 0.236
In 0.601 0.932 0.365
In 0.635 0.399 0.068
In 0.635 0.736 0.567
In 0.668 0.068 0.933
In 0.668 0.101 0.736
In 0.736 0.567 0.635
In 0.736 0.668 0.101
In 0.764 0.399 0.832
In 0.764 0.865 0.933
In 0.832 0.567 0.432
In 0.832 0.764 0.399
In 0.865 0.432 0.101
In 0.865 0.933 0.764
In 0.899 0.135 0.568
In 0.899 0.264 0.332
In 0.932 0.067 0.332
In 0.932 0.365 0.601
In 0.933 0.668 0.068
In 0.933 0.764 0.865
Hg 0.000 0.000 0.000
Hg 0.000 0.000 0.500
Hg 0.000 0.500 0.000
Hg 0.000 0.500 0.500
Hg 0.125 0.750 0.875
Hg 0.125 0.875 0.250
Hg 0.250 0.125 0.875
Hg 0.250 0.625 0.375
Hg 0.375 0.250 0.625
Hg 0.375 0.625 0.750
Hg 0.500 0.000 0.000
Hg 0.500 0.000 0.500
Hg 0.500 0.500 0.000
Hg 0.500 0.500 0.500
Hg 0.625 0.375 0.250
Hg 0.625 0.750 0.375
Hg 0.750 0.375 0.625
Hg 0.750 0.875 0.125
Hg 0.875 0.125 0.750
Hg 0.875 0.250 0.125


# 4
# Al2InHg

A relaxed structure of Al2InHg (PBE, Alexandria).

## Properties
VASP energy, eV/atom: -2.47
ΔH_f (0 K), meV per atom: 163

a b c (Å): 3.853 4.381 5.582
angles (deg): 90.00 108.58 90.00
Sites, in units of the cell vectors:
Al 0.000 0.000 0.000
Al 0.149 0.500 0.313
In 0.432 0.500 0.853
Hg 0.724 0.000 0.459


# 5
# AlInHg

A relaxed structure of AlInHg (PBE, Alexandria).

## Properties
VASP energy, eV/atom: -1.88
ΔH_f (0 K), meV per atom: 380

a b c (Å): 4.557 4.557 10.975
angles (deg): 90.00 90.00 120.00
Sites, in units of the cell vectors:
Al 0.000 0.000 0.250
Al 0.000 0.000 0.750
In 0.000 0.000 0.000
In 0.000 0.000 0.500
Hg 0.333 0.667 0.250
Hg 0.667 0.333 0.750


# 6
# Al2InHg

A relaxed structure of Al2InHg (PBE, Alexandria).

## Properties
VASP energy, eV/atom: -2.50
ΔH_f (0 K), meV per atom: 135

a b c (Å): 3.098 3.098 9.011
angles (deg): 90.00 90.00 95.36
Sites, in units of the cell vectors:
Al 0.000 0.000 0.000
Al 0.500 0.500 0.202
In 0.500 0.500 0.741
Hg 0.000 0.000 0.444


# 7
# Al2InHg

A relaxed structure of Al2InHg (PBE, Alexandria).

## Properties
VASP energy, eV/atom: -2.43
ΔH_f (0 K), meV per atom: 202

a b c (Å): 3.012 5.370 5.421
angles (deg): 90.00 90.00 90.00
Sites, in units of the cell vectors:
Al 0.000 0.000 0.000
Al 0.500 0.000 0.500
In 0.000 0.500 0.500
Hg 0.500 0.500 0.000


# 8
# AlInHg2

A relaxed structure of AlInHg2 (PBE, Alexandria).

## Properties
Relative energy among the computed polymorphs, meV per atom: 33
VASP energy, eV/atom: -1.66
ΔH_f (0 K), meV per atom: 107

a b c (Å): 9.907 9.907 9.907
angles (deg): 19.60 19.60 19.60
Sites, in units of the cell vectors:
Al 0.000 0.000 0.000
In 0.749 0.749 0.749
Hg 0.261 0.261 0.261
Hg 0.506 0.506 0.506


# 9
# AlIn2Hg

A relaxed structure of AlIn2Hg (PBE, Alexandria).

## Properties
Relative energy among the computed polymorphs, meV per atom: 13
VASP energy, eV/atom: -2.28
ΔH_f (0 K), meV per atom: 105

a b c (Å): 7.086 7.086 7.086
angles (deg): 153.80 140.09 48.37
Sites, in units of the cell vectors:
Al 0.000 0.000 0.000
In 0.197 0.697 0.500
In 0.803 0.303 0.500
Hg 0.500 0.500 0.000


# 10
# AlInHg2

A relaxed structure of AlInHg2 (PBE, Alexandria).

## Properties
Relative energy among the computed polymorphs, meV per atom: 14
VASP energy, eV/atom: -1.68
ΔH_f (0 K), meV per atom: 88

a b c (Å): 7.137 7.137 7.137
angles (deg): 154.07 141.67 46.86
Sites, in units of the cell vectors:
Al 0.000 0.000 0.000
In 0.795 0.295 0.500
Hg 0.187 0.687 0.500
Hg 0.482 0.482 0.000


# 11
# Al2InHg

A relaxed structure of Al2InHg (PBE, Alexandria).

## Properties
VASP energy, eV/atom: -2.50
ΔH_f (0 K), meV per atom: 131

a b c (Å): 10.489 10.489 10.489
angles (deg): 17.03 17.03 17.03
Sites, in units of the cell vectors:
Al 0.000 0.000 0.000
Al 0.261 0.261 0.261
In 0.513 0.513 0.513
Hg 0.750 0.750 0.750


# 12
# AlIn2Hg

A relaxed structure of AlIn2Hg (PBE, Alexandria).

## Properties
Relative energy among the computed polymorphs, meV per atom: 32
VASP energy, eV/atom: -2.26
ΔH_f (0 K), meV per atom: 124

a b c (Å): 5.511 5.511 3.266
angles (deg): 92.40 92.40 102.44
Sites, in units of the cell vectors:
Al 0.000 0.000 0.000
In 0.000 0.500 0.500
In 0.500 0.000 0.500
Hg 0.500 0.500 0.000